# Hf2ZrHg PBE-GGA optimized geometry
# DOS at the Fermi energy (states/eV per cell): 10.1
data_Hf2ZrHg
_chemical_formula_sum 'Hf4 Zr2 Hg2'
_cell_length_a 6.103
_cell_length_b 10.039
_cell_length_c 3.116
_cell_angle_alpha 90.00
_cell_angle_beta 113.80
_cell_angle_gamma 90.00
_symmetry_space_group_name_H-M 'C 1 2/m 1'
_symmetry_Int_Tables_number 12
loop_
_symmetry_equiv_pos_as_xyz
'x,y,z'
'-x,-y,-z'
'-x,y,-z'
'x,-y,z'
'x+1/2,y+1/2,z'
'-x+1/2,-y+1/2,-z'
'-x+1/2,y+1/2,-z'
'x+1/2,-y+1/2,z'
loop_
_atom_site_label
_atom_site_type_symbol
_atom_site_fract_x
_atom_site_fract_y
_atom_site_fract_z
Hf1 Hf 0.250 0.250 0.000
Zr1 Zr 0.000 0.000 0.500
Hg1 Hg 0.000 0.500 0.500

# Hf3ZrHg PBE-GGA optimized geometry
# DOS at the Fermi energy (states/eV per cell): 11.1
data_Hf3ZrHg
_chemical_formula_sum 'Hf6 Zr2 Hg2'
_cell_length_a 3.150
_cell_length_b 7.800
_cell_length_c 9.821
_cell_angle_alpha 110.05
_cell_angle_beta 90.00
_cell_angle_gamma 101.64
_symmetry_space_group_name_H-M 'P -1'
_symmetry_Int_Tables_number 2
loop_
_symmetry_equiv_pos_as_xyz
'x,y,z'
'-x,-y,-z'
loop_
_atom_site_label
_atom_site_type_symbol
_atom_site_fract_x
_atom_site_fract_y
_atom_site_fract_z
Hf1 Hf 0.130 0.259 0.231
Hf2 Hf 0.221 0.441 0.841
Hf3 Hf 0.331 0.661 0.466
Zr1 Zr 0.023 0.045 0.650
Hg1 Hg 0.423 0.847 0.060

# Hf2ZrHg PBE-GGA optimized geometry
# DOS at the Fermi energy (states/eV per cell): 15.7
data_Hf2ZrHg
_chemical_formula_sum 'Hf8 Zr4 Hg4'
_cell_length_a 4.224
_cell_length_b 4.224
_cell_length_c 20.858
_cell_angle_alpha 90.00
_cell_angle_beta 90.00
_cell_angle_gamma 90.00
_symmetry_space_group_name_H-M 'I -4 2 d'
_symmetry_Int_Tables_number 122
_symmetry_space_group_name_Hall 'I -4 2bw'
loop_
_atom_site_label
_atom_site_type_symbol
_atom_site_fract_x
_atom_site_fract_y
_atom_site_fract_z
Hf1 Hf 0.248 0.250 0.125
Zr1 Zr 0.000 0.000 0.000
Hg1 Hg 0.000 0.000 0.500

# HfZr12Hg3 PBE-GGA optimized geometry
# DOS at the Fermi energy (states/eV per cell): 14.9
data_HfZr12Hg3
_chemical_formula_sum 'Hf1 Zr12 Hg3'
_cell_length_a 4.466
_cell_length_b 4.466
_cell_length_c 17.887
_cell_angle_alpha 90.00
_cell_angle_beta 90.00
_cell_angle_gamma 90.00
_symmetry_space_group_name_H-M 'P 4/m m m'
_symmetry_Int_Tables_number 123
_symmetry_space_group_name_Hall '-P 4 2'
loop_
_atom_site_label
_atom_site_type_symbol
_atom_site_fract_x
_atom_site_fract_y
_atom_site_fract_z
Hf1 Hf 0.000 0.000 0.000
Zr1 Zr 0.000 0.500 0.125
Zr2 Zr 0.000 0.500 0.376
Zr3 Zr 0.500 0.500 0.000
Zr4 Zr 0.500 0.500 0.255
Zr5 Zr 0.500 0.500 0.500
Hg1 Hg 0.000 0.000 0.252
Hg2 Hg 0.000 0.000 0.500

# Hf2ZrHg PBE-GGA optimized geometry
# DOS at the Fermi energy (states/eV per cell): 4.1
data_Hf2ZrHg
_chemical_formula_sum 'Hf2 Zr1 Hg1'
_cell_length_a 4.421
_cell_length_b 4.421
_cell_length_c 4.406
_cell_angle_alpha 90.00
_cell_angle_beta 90.00
_cell_angle_gamma 90.00
_symmetry_space_group_name_H-M 'P 4/m m m'
_symmetry_Int_Tables_number 123
_symmetry_space_group_name_Hall '-P 4 2'
loop_
_atom_site_label
_atom_site_type_symbol
_atom_site_fract_x
_atom_site_fract_y
_atom_site_fract_z
Hf1 Hf 0.000 0.500 0.000
Zr1 Zr 0.000 0.000 0.500
Hg1 Hg 0.500 0.500 0.500

# Hf2Zr3Hg3 PBE-GGA optimized geometry
# DOS at the Fermi energy (states/eV per cell): 17.8
data_Hf2Zr3Hg3
_chemical_formula_sum 'Hf4 Zr6 Hg6'
_cell_length_a 4.201
_cell_length_b 4.455
_cell_length_c 18.644
_cell_angle_alpha 90.00
_cell_angle_beta 90.00
_cell_angle_gamma 90.00
_symmetry_space_group_name_H-M 'I m m m'
_symmetry_Int_Tables_number 71
_symmetry_space_group_name_Hall '-I 2 2'
loop_
_atom_site_label
_atom_site_type_symbol
_atom_site_fract_x
_atom_site_fract_y
_atom_site_fract_z
Hf1 Hf 0.000 0.000 0.246
Zr1 Zr 0.000 0.000 0.000
Zr2 Zr 0.000 0.500 0.123
Hg1 Hg 0.000 0.000 0.500
Hg2 Hg 0.000 0.500 0.372

# HoHf5 PBE-GGA optimized geometry
# DOS at the Fermi energy (states/eV per cell): 17.8
data_HoHf5
_chemical_formula_sum 'Ho2 Hf10'
_cell_length_a 4.550
_cell_length_b 13.635
_cell_length_c 4.524
_cell_angle_alpha 90.00
_cell_angle_beta 90.00
_cell_angle_gamma 90.00
_symmetry_space_group_name_H-M 'C m m m'
_symmetry_Int_Tables_number 65
_symmetry_space_group_name_Hall '-C 2 2'
loop_
_atom_site_label
_atom_site_type_symbol
_atom_site_fract_x
_atom_site_fract_y
_atom_site_fract_z
Ho1 Ho 0.000 0.000 0.000
Hf1 Hf 0.000 0.170 0.500
Hf2 Hf 0.000 0.329 0.000
Hf3 Hf 0.000 0.500 0.500

# HoHf3 PBE-GGA optimized geometry
# DOS at the Fermi energy (states/eV per cell): 6.9
data_HoHf3
_chemical_formula_sum 'Ho2 Hf6'
_cell_length_a 3.263
_cell_length_b 10.323
_cell_length_c 5.697
_cell_angle_alpha 90.00
_cell_angle_beta 90.00
_cell_angle_gamma 90.00
_symmetry_space_group_name_H-M 'I m m 2'
_symmetry_Int_Tables_number 44
loop_
_symmetry_equiv_pos_as_xyz
'x,y,z'
'-x,-y,z'
'-x,y,z'
'x,-y,z'
'x+1/2,y+1/2,z+1/2'
'-x+1/2,-y+1/2,z+1/2'
'-x+1/2,y+1/2,z+1/2'
'x+1/2,-y+1/2,z+1/2'
loop_
_atom_site_label
_atom_site_type_symbol
_atom_site_fract_x
_atom_site_fract_y
_atom_site_fract_z
Ho1 Ho 0.000 0.000 0.000
Hf1 Hf 0.000 0.246 0.667
Hf2 Hf 0.000 0.500 0.996

# HoHf4 PBE-GGA optimized geometry
# DOS at the Fermi energy (states/eV per cell): 6.2
data_HoHf4
_chemical_formula_sum 'Ho1 Hf4'
_cell_length_a 5.081
_cell_length_b 5.081
_cell_length_c 5.081
_cell_angle_alpha 90.00
_cell_angle_beta 90.00
_cell_angle_gamma 90.00
_symmetry_space_group_name_H-M 'P m -3 m'
_symmetry_Int_Tables_number 221
_symmetry_space_group_name_Hall '-P 4 2 3'
loop_
_atom_site_label
_atom_site_type_symbol
_atom_site_fract_x
_atom_site_fract_y
_atom_site_fract_z
Ho1 Ho 0.000 0.000 0.000
Hf1 Hf 0.000 0.000 0.500
Hf2 Hf 0.500 0.500 0.500

# HoHf3 PBE-GGA optimized geometry
# DOS at the Fermi energy (states/eV per cell): 5.0
data_HoHf3
_chemical_formula_sum 'Ho1 Hf3'
_cell_length_a 4.575
_cell_length_b 4.575
_cell_length_c 4.575
_cell_angle_alpha 90.00
_cell_angle_beta 90.00
_cell_angle_gamma 90.00
_symmetry_space_group_name_H-M 'P m -3 m'
_symmetry_Int_Tables_number 221
_symmetry_space_group_name_Hall '-P 4 2 3'
loop_
_atom_site_label
_atom_site_type_symbol
_atom_site_fract_x
_atom_site_fract_y
_atom_site_fract_z
Ho1 Ho 0.000 0.000 0.000
Hf1 Hf 0.000 0.500 0.500

# HoHf3 PBE-GGA optimized geometry
# DOS at the Fermi energy (states/eV per cell): 11.9
data_HoHf3
_chemical_formula_sum 'Ho2 Hf6'
_cell_length_a 4.583
_cell_length_b 4.583
_cell_length_c 9.082
_cell_angle_alpha 90.00
_cell_angle_beta 90.00
_cell_angle_gamma 90.00
_symmetry_space_group_name_H-M 'I 4/m m m'
_symmetry_Int_Tables_number 139
_symmetry_space_group_name_Hall '-I 4 2'
loop_
_atom_site_label
_atom_site_type_symbol
_atom_site_fract_x
_atom_site_fract_y
_atom_site_fract_z
Ho1 Ho 0.000 0.000 0.000
Hf1 Hf 0.000 0.000 0.500
Hf2 Hf 0.000 0.500 0.250

# HoHf3 PBE-GGA optimized geometry
# DOS at the Fermi energy (states/eV per cell): 2.9
data_HoHf3
_chemical_formula_sum 'Ho1 Hf3'
_cell_length_a 3.265
_cell_length_b 5.143
_cell_length_c 5.726
_cell_angle_alpha 90.00
_cell_angle_beta 90.00
_cell_angle_gamma 90.00
_symmetry_space_group_name_H-M 'P m m 2'
_symmetry_Int_Tables_number 25
loop_
_symmetry_equiv_pos_as_xyz
'x,y,z'
'-x,-y,z'
'-x,y,z'
'x,-y,z'
loop_
_atom_site_label
_atom_site_type_symbol
_atom_site_fract_x
_atom_site_fract_y
_atom_site_fract_z
Ho1 Ho 0.000 0.000 0.000
Hf1 Hf 0.000 0.500 0.658
Hf2 Hf 0.500 0.000 0.501
Hf3 Hf 0.500 0.500 0.187

ΔH_f (0 K)? In order: 0.064; 0.010; 0.359; -0.096; -0.066; -0.102; 0.136; 0.088; 1.499; 0.168; 0.168; 0.074 eV/atom.
Size of the total moment? In order: 0.0; 0.0; 0.0; 0.0; 0.0; 0.0; 0.0; 0.0; 0.0; 0.0; 0.0; 0.0 μB per formula unit.